# 1
A plane-wave DFT calculation with PBE+U was carried out for VPtO4 after structural relaxation.

a = 4.531 Å, b = 5.062 Å, c = 5.597 Å
α = 90.00°, β = 90.00°, γ = 90.00°
Positions (direct):
O 0.267 0.844 0.617
O 0.260 0.316 0.391
O 0.733 0.156 0.617
Pt 0.000 0.500 0.145
O 0.760 0.684 0.891
Pt 0.500 0.500 0.645
O 0.740 0.684 0.391
O 0.240 0.316 0.891
V 0.000 0.000 0.840
O 0.767 0.156 0.117
O 0.233 0.844 0.117
V 0.500 0.000 0.340

Volume: 10.70 A^3/atom
E: -6.748 eV per atom
Space group: Pnc2

# 2
A plane-wave DFT calculation with PBE+U was carried out for V2PtO8 after structural relaxation.

a = 5.050 Å, b = 6.284 Å, c = 6.284 Å
α = 93.95°, β = 85.43°, γ = 85.43°
Positions (direct):
Pt 0.000 0.000 0.000
O 0.274 0.408 0.408
O 0.202 0.264 0.975
O 0.798 0.736 0.025
O 0.715 0.171 0.171
O 0.202 0.975 0.264
V 0.359 0.219 0.219
O 0.798 0.025 0.736
V 0.641 0.781 0.781
O 0.726 0.592 0.592
O 0.285 0.829 0.829

Volume: 17.96 A^3/atom
E: -6.471 eV per atom
D(E_F): 5.42 states/eV per cell
Space group: C2/m

# 3
A plane-wave DFT calculation with PBE+U was carried out for VPt3O after structural relaxation.

a = 4.284 Å, b = 4.284 Å, c = 4.284 Å
α = 90.00°, β = 90.00°, γ = 90.00°
Positions (direct):
Pt 0.500 0.000 0.000
O 0.000 0.000 0.000
Pt 0.000 0.500 0.000
Pt 0.000 0.000 0.500
V 0.500 0.500 0.500

Energy relative to the lowest polymorph listed for this composition: 0.00 eV/f.u.
Volume: 15.72 A^3/atom
E: -5.622 eV per atom
D(E_F): 4.84 states/eV per cell
Space group: Pm-3m

# 4
A plane-wave DFT calculation with PBE+U was carried out for VPtO3 after structural relaxation.

a = 3.986 Å, b = 3.986 Å, c = 3.986 Å
α = 90.00°, β = 90.00°, γ = 90.00°
Positions (direct):
O 0.000 0.000 0.500
V 0.500 0.500 0.500
O 0.000 0.500 0.000
Pt 0.000 0.000 0.000
O 0.500 0.000 0.000

Volume: 12.66 A^3/atom
E: -5.692 eV per atom
D(E_F): 5.75 states/eV per cell
Space group: Pm-3m

# 5
A plane-wave DFT calculation with PBE+U was carried out for V2PtO after structural relaxation.

a = 6.044 Å, b = 6.044 Å, c = 5.431 Å
α = 56.19°, β = 56.19°, γ = 90.00°
Positions (direct):
O 0.500 0.500 0.000
V 0.875 0.789 0.750
Pt 0.000 0.000 0.000
V 0.211 0.625 0.250
V 0.539 0.125 0.250
O 0.250 0.750 0.500
V 0.375 0.461 0.750
Pt 0.750 0.250 0.500

Volume: 15.30 A^3/atom
E: -6.915 eV per atom
D(E_F): 5.26 states/eV per cell
Space group: I-42d

# 6
A plane-wave DFT calculation with PBE+U was carried out for VPtO2 after structural relaxation.

a = 4.916 Å, b = 4.916 Å, c = 5.732 Å
α = 64.61°, β = 64.61°, γ = 90.00°
Positions (direct):
O 0.190 0.625 0.250
V 0.250 0.750 0.500
Pt 0.000 0.000 0.000
O 0.560 0.125 0.250
O 0.875 0.810 0.750
O 0.375 0.440 0.750
V 0.500 0.500 0.000
Pt 0.750 0.250 0.500

Energy relative to the lowest polymorph listed for this composition: 2.22 eV/f.u.
Volume: 13.77 A^3/atom
E: -6.559 eV per atom
D(E_F): 2.47 states/eV per cell
Space group: I-42d

# 7
A plane-wave DFT calculation with PBE+U was carried out for V2PtO6 after structural relaxation.

a = 4.440 Å, b = 8.768 Å, c = 8.768 Å
α = 120.00°, β = 90.00°, γ = 90.00°
Positions (direct):
V 0.000 0.653 0.653
O 0.237 0.221 0.442
O 0.206 0.881 0.119
O 0.763 0.779 0.558
O 0.206 0.881 0.763
O 0.254 0.553 0.447
O 0.237 0.558 0.779
O 0.237 0.221 0.779
O 0.746 0.447 0.553
Pt 0.489 0.333 0.667
Pt 0.511 0.667 0.333
O 0.746 0.106 0.553
O 0.254 0.553 0.106
O 0.763 0.779 0.221
O 0.794 0.119 0.237
O 0.746 0.447 0.894
Pt 0.000 0.000 0.000
V 0.000 0.347 0.000
O 0.794 0.119 0.881
O 0.763 0.442 0.221
V 0.000 0.000 0.653
O 0.206 0.237 0.119
V 0.000 0.000 0.347
O 0.254 0.894 0.447
V 0.000 0.347 0.347
O 0.794 0.763 0.881
V 0.000 0.653 0.000

Volume: 10.95 A^3/atom
E: -6.995 eV per atom
D(E_F): 8.11 states/eV per cell
Space group: P-3m1

# 8
A plane-wave DFT calculation with PBE+U was carried out for VPt2O after structural relaxation.

a = 6.871 Å, b = 6.871 Å, c = 5.453 Å
α = 50.95°, β = 50.95°, γ = 90.00°
Positions (direct):
Pt 0.577 0.125 0.250
Pt 0.375 0.423 0.750
O 0.500 0.500 0.000
Pt 0.875 0.827 0.750
V 0.000 0.000 0.000
V 0.750 0.250 0.500
O 0.250 0.750 0.500
Pt 0.173 0.625 0.250

Volume: 14.61 A^3/atom
E: -5.855 eV per atom
D(E_F): 6.99 states/eV per cell
Space group: I-42d

# 9
A plane-wave DFT calculation with PBE+U was carried out for VPtO2 after structural relaxation.

a = 6.463 Å, b = 6.463 Å, c = 6.463 Å
α = 26.54°, β = 26.54°, γ = 26.54°
Positions (direct):
V 0.500 0.500 0.500
O 0.109 0.109 0.109
Pt 0.000 0.000 0.000
O 0.891 0.891 0.891

Energy relative to the lowest polymorph listed for this composition: 0.00 eV/f.u.
Volume: 11.87 A^3/atom
E: -7.113 eV per atom
D(E_F): 3.64 states/eV per cell
Space group: R-3m

# 10
A plane-wave DFT calculation with PBE+U was carried out for V2PtO after structural relaxation.

a = 2.954 Å, b = 2.954 Å, c = 7.300 Å
α = 78.33°, β = 78.33°, γ = 60.00°
Positions (direct):
Pt 0.500 0.500 0.500
V 0.731 0.731 0.807
V 0.269 0.269 0.193
O 0.000 0.000 0.000

Volume: 13.41 A^3/atom
E: -6.969 eV per atom
D(E_F): 2.44 states/eV per cell
Space group: R-3m

# 11
A plane-wave DFT calculation with PBE+U was carried out for VPtO2 after structural relaxation.

a = 3.982 Å, b = 3.982 Å, c = 3.982 Å
α = 60.00°, β = 60.00°, γ = 60.00°
Positions (direct):
O 0.250 0.250 0.250
Pt 0.500 0.500 0.500
V 0.000 0.000 0.000
O 0.750 0.750 0.750

Energy relative to the lowest polymorph listed for this composition: 5.03 eV/f.u.
Volume: 11.16 A^3/atom
E: -5.855 eV per atom
D(E_F): 3.44 states/eV per cell
Space group: Fm-3m

# 12
A plane-wave DFT calculation with PBE+U was carried out for VPtO2 after structural relaxation.

a = 5.647 Å, b = 5.647 Å, c = 5.647 Å
α = 37.24°, β = 37.24°, γ = 37.24°
Positions (direct):
Pt 0.500 0.500 0.500
O 0.881 0.881 0.881
O 0.119 0.119 0.119
V 0.000 0.000 0.000

Energy relative to the lowest polymorph listed for this composition: 4.31 eV/f.u.
Volume: 14.78 A^3/atom
E: -6.035 eV per atom
D(E_F): 1.80 states/eV per cell
Space group: R-3m

# 13
A plane-wave DFT calculation with PBE+U was carried out for VPt3O after structural relaxation.

a = 4.670 Å, b = 4.670 Å, c = 4.670 Å
α = 90.00°, β = 90.00°, γ = 90.00°
Positions (direct):
Pt 0.000 0.000 0.500
O 0.500 0.500 0.500
Pt 0.000 0.500 0.000
V 0.000 0.000 0.000
Pt 0.500 0.000 0.000

Energy relative to the lowest polymorph listed for this composition: 5.80 eV/f.u.
Volume: 20.37 A^3/atom
E: -4.461 eV per atom
D(E_F): 3.65 states/eV per cell
Space group: Pm-3m

# 14
A plane-wave DFT calculation with PBE+U was carried out for VPtO3 after structural relaxation.

a = 3.820 Å, b = 3.820 Å, c = 3.820 Å
α = 90.00°, β = 90.00°, γ = 90.00°
Positions (direct):
O 0.000 0.000 0.500
V 0.000 0.000 0.000
O 0.500 0.000 0.000
O 0.000 0.500 0.000
Pt 0.500 0.500 0.500

Volume: 11.15 A^3/atom
E: -6.200 eV per atom
D(E_F): 5.49 states/eV per cell
Space group: Pm-3m

# 15
A plane-wave DFT calculation with PBE+U was carried out for VPt2O6 after structural relaxation.

a = 3.084 Å, b = 6.117 Å, c = 6.854 Å
α = 101.32°, β = 103.00°, γ = 90.00°
Positions (direct):
Pt 0.835 0.669 0.670
V 0.500 0.000 0.000
Pt 0.165 0.331 0.330
O 0.650 0.108 0.300
O 0.350 0.892 0.700
O 0.990 0.787 0.981
O 0.321 0.445 0.642
O 0.679 0.555 0.358
O 0.010 0.213 0.019

Energy relative to the lowest polymorph listed for this composition: 0.00 eV/f.u.
Volume: 13.71 A^3/atom
E: -6.360 eV per atom
Space group: C2/m

# 16
A plane-wave DFT calculation with PBE+U was carried out for VPt2O6 after structural relaxation.

a = 3.850 Å, b = 5.399 Å, c = 6.182 Å
α = 67.46°, β = 71.86°, γ = 69.11°
Positions (direct):
O 0.027 0.170 0.775
O 0.727 0.659 0.887
Pt 0.825 0.249 0.101
O 0.973 0.830 0.225
O 0.628 0.337 0.407
V 0.000 0.500 0.500
O 0.372 0.663 0.593
Pt 0.175 0.751 0.899
O 0.273 0.341 0.113

Energy relative to the lowest polymorph listed for this composition: 2.00 eV/f.u.
Volume: 12.07 A^3/atom
E: -6.137 eV per atom
D(E_F): 0.11 states/eV per cell
Space group: C2/m

# 17
A plane-wave DFT calculation with PBE+U was carried out for PtWO3 after structural relaxation.

a = 3.989 Å, b = 3.989 Å, c = 3.989 Å
α = 90.00°, β = 90.00°, γ = 90.00°
Positions (direct):
W 0.500 0.500 0.500
O 0.500 0.000 0.000
O 0.000 0.500 0.000
Pt 0.000 0.000 0.000
O 0.000 0.000 0.500

Volume: 12.70 A^3/atom
E: -5.261 eV per atom
D(E_F): 2.49 states/eV per cell
Space group: Pm-3m

# 18
A plane-wave DFT calculation with PBE+U was carried out for PtWO2 after structural relaxation.

a = 4.053 Å, b = 4.053 Å, c = 7.085 Å
α = 73.38°, β = 73.38°, γ = 90.00°
Positions (direct):
W 0.500 0.500 0.000
O 0.182 0.625 0.250
O 0.375 0.432 0.750
O 0.875 0.818 0.750
Pt 0.750 0.250 0.500
O 0.568 0.125 0.250
Pt 0.000 0.000 0.000
W 0.250 0.750 0.500

Energy relative to the lowest polymorph listed for this composition: 1.28 eV/f.u.
Volume: 13.31 A^3/atom
E: -6.236 eV per atom
D(E_F): 4.72 states/eV per cell
Space group: I-42d

# 19
A plane-wave DFT calculation with PBE+U was carried out for PtW3O after structural relaxation.

a = 5.133 Å, b = 5.133 Å, c = 5.133 Å
α = 90.00°, β = 90.00°, γ = 90.00°
Positions (direct):
W 0.000 0.000 0.500
W 0.500 0.000 0.000
W 0.000 0.500 0.000
Pt 0.000 0.000 0.000
O 0.500 0.500 0.500

Energy relative to the lowest polymorph listed for this composition: 7.65 eV/f.u.
Volume: 27.05 A^3/atom
E: -4.524 eV per atom
D(E_F): 3.62 states/eV per cell
Space group: Pm-3m

# 20
A plane-wave DFT calculation with PBE+U was carried out for PtWO2 after structural relaxation.

a = 4.079 Å, b = 4.079 Å, c = 4.079 Å
α = 60.00°, β = 60.00°, γ = 60.00°
Positions (direct):
W 0.000 0.000 0.000
O 0.750 0.750 0.750
Pt 0.500 0.500 0.500
O 0.250 0.250 0.250

Energy relative to the lowest polymorph listed for this composition: 4.21 eV/f.u.
Volume: 12.00 A^3/atom
E: -5.502 eV per atom
D(E_F): 1.52 states/eV per cell
Space group: Fm-3m